Here is a relaxed structure of CsMnHg2Se from Alexandria. Energies are from GGA-PBE.

Computed properties:
crystal system	tetragonal
density of states at the Fermi level	1.974	states/eV/cell
uncorrected formation energy	-26.1	kJ per mole of atoms

```
data_CsMnHg2Se
_chemical_formula_sum 'Cs1 Mn1 Hg2 Se1'
_symmetry_space_group_name_H-M 'P 4/m m m'
_symmetry_Int_Tables_number 123
_symmetry_space_group_name_Hall '-P 4 2'
_cell_length_a 5.5651
_cell_length_b 5.5651
_cell_length_c 5.0344
_cell_angle_alpha 90.00
_cell_angle_beta 90.00
_cell_angle_gamma 90.00
loop_
_atom_site_label
_atom_site_type_symbol
_atom_site_fract_x
_atom_site_fract_y
_atom_site_fract_z
Cs1 Cs 0.0000 0.0000 0.0000
Mn1 Mn 0.5000 0.5000 0.5000
Hg1 Hg 0.0000 0.5000 0.5000
Se1 Se 0.5000 0.5000 0.0000
```